Density functional theory data (GGA-PBE) for crystalline PmSmCu10 at its relaxed geometry.

```
12
Lattice="4.118 0.000 0.000 0.000 5.112 0.000 0.000 0.000 8.773" Properties=species:S:1:pos:R:3 pbc="T T T"
Pm 0.000 0.000 0.000
Sm 0.000 2.556 4.386
Cu 0.000 0.000 2.932
Cu 0.000 2.556 7.309
Cu 0.000 2.556 1.464
Cu 0.000 0.000 5.841
Cu 2.059 0.000 4.386
Cu 2.059 2.556 0.000
Cu 2.059 1.280 2.197
Cu 2.059 3.832 6.576
Cu 2.059 3.832 2.197
Cu 2.059 1.280 6.576
```

## Properties
Electronic total energy   -4.376 eV/atom

=====

Density functional theory data (GGA-PBE) for crystalline Pm2SmCu3 at its relaxed geometry.

```
6
Lattice="3.552 0.000 0.000 0.000 3.552 0.000 0.000 0.000 10.715" Properties=species:S:1:pos:R:3 pbc="T T T"
Pm 1.776 1.776 8.922
Pm 1.776 1.776 1.793
Sm 1.776 1.776 5.358
Cu 0.000 0.000 0.000
Cu 0.000 0.000 7.119
Cu 0.000 0.000 3.596
```

## Properties
Relative energy among the computed polymorphs   0.000 eV per atom

=====

Number 1: spin magnetization 0.00 μB per formula unit. Number 2: spin magnetization 0.00 μB per formula unit.